No. 1
Entry from the Alexandria database: crystalline NpHF6 at its relaxed geometry (PBE-GGA).

Structure (POSCAR):
```
NpHF6
1.0
2.6714 -4.5137 0.0000
2.6714 4.5137 0.0000
-0.9727 0.0000 4.9764
Np H F
1 1 6
direct
0.0000 0.0000 0.0000 Np
0.5000 0.5000 0.5000 H
0.0230 0.7113 0.2226 F
0.2887 0.9770 0.7774 F
0.3751 0.3751 0.2892 F
0.6249 0.6249 0.7108 F
0.7113 0.0230 0.2226 F
0.9770 0.2887 0.7774 F
```

## Properties
As for the space group: C2/m, No. 12. The value obtained for the density of states at the Fermi level is 6.5 states/eV/cell.

***

No. 2
Entry from the Alexandria database: crystalline NpH2F4 at its relaxed geometry (PBE-GGA).

Structure (POSCAR):
```
NpH2F4
1.0
3.8559 0.0000 0.0000
0.0000 3.8562 0.0000
-0.9229 0.0000 7.7378
Np H F
1 2 4
direct
0.0000 0.0000 0.0000 Np
0.4621 0.5000 0.5422 H
0.5379 0.5000 0.4578 H
0.0317 0.5000 0.1576 F
0.4647 0.0000 0.8422 F
0.5353 0.0000 0.1578 F
0.9683 0.5000 0.8424 F
```

## Properties
As for the space group: P2/m, No. 10. The value obtained for the density of states at the Fermi level is 6.6 states/eV/cell.

***

No. 3
Entry from the Alexandria database: crystalline NpHF at its relaxed geometry (PBE-GGA).

Structure (POSCAR):
```
NpHF
1.0
3.4401 0.0000 0.0000
0.0000 3.7952 0.0000
0.0000 0.0000 10.3577
Np H F
4 4 4
direct
0.2221 0.2500 0.1713 Np
0.2779 0.7500 0.6713 Np
0.7221 0.2500 0.3287 Np
0.7779 0.7500 0.8287 Np
0.1681 0.2500 0.7920 H
0.3319 0.7500 0.2920 H
0.6681 0.2500 0.7080 H
0.8319 0.7500 0.2080 H
0.2428 0.2500 0.5076 F
0.2572 0.7500 0.0076 F
0.7428 0.2500 0.9924 F
0.7572 0.7500 0.4924 F
```

## Properties
The energy relative to the lowest polymorph listed for this composition is 47 meV/atom. As for the space group: Pnma, No. 62. The value obtained for the density of states at the Fermi level is 10.0 states/eV/cell.

***

No. 4
Entry from the Alexandria database: crystalline NpH3F9 at its relaxed geometry (PBE-GGA).

Structure (POSCAR):
```
NpH3F9
1.0
7.2763 -3.7484 0.0000
7.2763 3.7484 0.0000
-4.4746 0.0000 7.8291
Np H F
2 6 18
direct
0.2488 0.7512 0.5000 Np
0.7512 0.2488 0.0000 Np
0.5259 0.9841 0.3476 H
0.5388 0.9530 0.1112 H
0.7244 0.7756 0.4966 H
0.7756 0.7244 0.9966 H
0.9530 0.5388 0.6112 H
0.9841 0.5259 0.8476 H
0.0380 0.1936 0.0420 F
0.0476 0.4602 0.7484 F
0.1790 0.8364 0.7194 F
0.1936 0.0380 0.5420 F
0.3035 0.4648 0.4585 F
0.3180 0.6660 0.2803 F
0.4602 0.0476 0.2484 F
0.4648 0.3035 0.9585 F
0.5496 0.6641 0.6254 F
0.5863 0.8959 0.0032 F
0.5960 0.9159 0.4899 F
0.6641 0.5496 0.1254 F
0.6660 0.3180 0.7803 F
0.8364 0.1790 0.2194 F
0.8379 0.9481 0.8743 F
0.8959 0.5863 0.5032 F
0.9159 0.5960 0.9899 F
0.9481 0.8379 0.3743 F
```

## Properties
As for the space group: Cc, No. 9.

***

No. 5
Entry from the Alexandria database: crystalline NpH3F8 at its relaxed geometry (PBE-GGA).

Structure (POSCAR):
```
NpH3F8
1.0
6.6999 0.0000 0.0000
-3.3500 5.8023 0.0000
0.0000 0.0000 7.9058
Np H F
2 6 16
direct
0.3333 0.6667 0.0000 Np
0.6667 0.3333 0.5000 Np
0.0447 0.0893 0.1599 H
0.0447 0.9553 0.1599 H
0.0893 0.0447 0.6599 H
0.9107 0.9553 0.1599 H
0.9553 0.0447 0.6599 H
0.9553 0.9107 0.6599 H
0.0000 0.0000 0.4092 F
0.0000 0.0000 0.9092 F
0.0010 0.5005 0.4301 F
0.1921 0.3843 0.1587 F
0.1921 0.8079 0.1587 F
0.3333 0.6667 0.7385 F
0.3843 0.1921 0.6587 F
0.5005 0.0010 0.9301 F
0.4995 0.5005 0.4301 F
0.5005 0.4995 0.9301 F
0.4995 0.9990 0.4301 F
0.6157 0.8079 0.1587 F
0.6667 0.3333 0.2385 F
0.8079 0.1921 0.6587 F
0.8079 0.6157 0.6587 F
0.9990 0.4995 0.9301 F
```

## Properties
As for the space group: P6_3mc, No. 186. The value obtained for the density of states at the Fermi level is 7.0 states/eV/cell.

***

No. 6
Entry from the Alexandria database: crystalline NpHF5 at its relaxed geometry (PBE-GGA).

Structure (POSCAR):
```
NpHF5
1.0
4.6255 -3.1995 0.0000
4.6255 3.1995 0.0000
-3.6061 0.0000 6.7796
Np H F
2 2 10
direct
0.1859 0.8141 0.5000 Np
0.8141 0.1859 0.0000 Np
0.3669 0.9496 0.2239 H
0.9496 0.3669 0.7239 H
0.0298 0.2801 0.6007 F
0.2801 0.0298 0.1007 F
0.4350 0.4563 0.5307 F
0.4479 0.8635 0.3682 F
0.4563 0.4350 0.0307 F
0.5115 0.9548 0.7685 F
0.8635 0.4479 0.8682 F
0.8974 0.9834 0.2193 F
0.9548 0.5115 0.2685 F
0.9834 0.8974 0.7193 F
```

## Properties
As for the space group: Cc, No. 9. The value obtained for the density of states at the Fermi level is 14.4 states/eV/cell.

***

No. 7
Entry from the Alexandria database: crystalline NpHF at its relaxed geometry (PBE-GGA).

Structure (POSCAR):
```
NpHF
1.0
0.0000 2.8012 2.8012
2.8012 0.0000 2.8012
2.8012 2.8012 0.0000
Np H F
1 1 1
direct
0.0000 0.0000 0.0000 Np
0.7500 0.7500 0.7500 H
0.2500 0.2500 0.2500 F
```

## Properties
The energy relative to the lowest polymorph listed for this composition is 0 meV/atom. As for the space group: F-43m, No. 216. The value obtained for the density of states at the Fermi level is 7.9 states/eV/cell.

***

No. 8
Entry from the Alexandria database: crystalline NpH3O2F6 at its relaxed geometry (PBE-GGA).

Structure (POSCAR):
```
NpH3O2F6
1.0
5.0363 -2.6536 0.0000
5.0363 2.6536 0.0000
-1.6569 0.0000 4.6647
Np H O F
1 3 2 6
direct
0.0000 0.0000 0.0000 Np
0.0000 0.5000 0.0000 H
0.5000 0.0000 0.0000 H
0.5000 0.5000 0.5000 H
0.2084 0.2084 0.9757 O
0.7916 0.7916 0.0243 O
0.1534 0.1534 0.4042 F
0.2773 0.6704 0.2498 F
0.3296 0.7227 0.7502 F
0.6704 0.2773 0.2498 F
0.7227 0.3296 0.7502 F
0.8466 0.8466 0.5958 F
```

## Properties
As for the space group: C2/m, No. 12.

***

no.,uncorrected energy (Ha/atom)
1,-0.23031
2,-0.23217
3,-0.27130
4,-0.20075
5,-0.18389
6,-0.24026
7,-0.27304
8,-0.19247